Entry 1:
Material: BaSr2Y
Method: DFT, PBEsol
State: relaxed

a b c (Å): 3.9921 3.9921 39.5289
angles (deg): 90.00 90.00 120.00
Space group R-3m (No. 166, hexagonal axes)
One atom of each set of equivalent atoms:
Ba 0.0000 0.0000 0.0000 (multiplicity 3)
Sr 0.0000 0.0000 0.2430 (multiplicity 6)
Y 0.0000 0.0000 0.5000 (multiplicity 3)

Values from the calculation:
**Energy relative to the elements**: 169.7 meV per atom
**M_tot**: 0.87 μB/f.u.
**Relative energy among the computed polymorphs**: 0.00 eV/f.u.
**DOS(E_F)**: 19.1 states/eV per cell


Entry 2:
Material: OsPtSe2
Method: DFT, PBEsol
State: relaxed

a b c (Å): 5.496 5.496 11.248
angles (deg): 90.00 90.00 90.00
Space group I-42d (No. 122)
One atom of each set of equivalent atoms:
Os 0.000 0.000 0.000 (multiplicity 4)
Pt 0.000 0.000 0.500 (multiplicity 4)
Se 0.236 0.250 0.125 (multiplicity 8)

Values from the calculation:
**M_tot**: 0.00 μB/f.u.
**Relative energy among the computed polymorphs**: 0.54 eV/f.u.
**Uncorrected formation energy**: 0.36 eV/atom
**DOS(E_F)**: 9.2 states/eV per cell


Entry 3:
Material: CaMg
Method: DFT, PBEsol
State: relaxed

a b c (Å): 7.739 7.739 7.739
angles (deg): 90.00 90.00 90.00
Space group Fd-3m (No. 227, origin choice 2)
One atom of each set of equivalent atoms:
Ca 0.125 0.125 0.125 (multiplicity 8)
Mg 0.125 0.125 0.625 (multiplicity 8)

Values from the calculation:
**Energy relative to the elements**: -35.4 meV per atom
**M_tot**: 0.00 μB/f.u.
**DOS(E_F)**: 7.2 states/eV per cell


Entry 4:
Material: K6NaAu2IO8
Method: DFT, PBEsol
State: relaxed

a b c (Å): 7.038 9.775 11.937
angles (deg): 90.00 122.95 90.00
Space group P2/c (No. 13)
One atom of each set of equivalent atoms:
K 0.000 0.143 0.250 (multiplicity 2)
K 0.012 0.163 0.911 (multiplicity 4)
K 0.472 0.318 0.588 (multiplicity 4)
K 0.500 0.343 0.250 (multiplicity 2)
Na 0.500 0.006 0.250 (multiplicity 2)
Au 0.000 0.456 0.750 (multiplicity 2)
Au 0.000 0.500 0.000 (multiplicity 2)
I 0.500 0.000 0.000 (multiplicity 2)
O 0.217 0.446 0.690 (multiplicity 4)
O 0.261 0.072 0.514 (multiplicity 4)
O 0.287 0.082 0.832 (multiplicity 4)
O 0.497 0.162 0.408 (multiplicity 4)

Values from the calculation:
**M_tot**: 0.00 μB/f.u.
**Uncorrected formation energy**: -1.15 eV/atom
**DOS(E_F)**: 0.0 states/eV per cell


Entry 5:
Material: InSiP3
Method: DFT, PBEsol
State: relaxed

a b c (Å): 4.530 4.530 4.530
angles (deg): 90.00 90.00 90.00
Space group Pm-3m (No. 221)
One atom of each set of equivalent atoms:
In 0.000 0.000 0.000 (multiplicity 1)
Si 0.500 0.500 0.500 (multiplicity 1)
P 0.000 0.500 0.500 (multiplicity 3)

Values from the calculation:
**M_tot**: 0.00 μB/f.u.
**Uncorrected formation energy**: 0.54 eV/atom
**DOS(E_F)**: 4.1 states/eV per cell


Entry 6:
Material: LaTaSb
Method: DFT, PBEsol
State: relaxed

a b c (Å): 7.196 7.196 7.196
angles (deg): 90.00 90.00 90.00
Space group F-43m (No. 216)
One atom of each set of equivalent atoms:
La 0.000 0.000 0.000 (multiplicity 4)
Ta 0.250 0.250 0.250 (multiplicity 4)
Sb 0.250 0.250 0.750 (multiplicity 4)

Values from the calculation:
**M_tot**: 3.38 μB/f.u.
**Uncorrected formation energy**: 1.05 eV/atom
**DOS(E_F)**: 11.5 states/eV per cell